DFT (PBE-GGA) results for AlSnP2O after structural relaxation.

Cell and atoms, written as POSCAR:
```
AlSnP2O
1.0
5.139 0.000 0.000
0.000 5.139 0.000
0.000 0.000 3.891
P Sn Al O
2 1 1 1
Direct
0.500 0.000 0.000
0.000 0.500 0.000
0.000 0.000 0.000
0.500 0.500 0.500
0.000 0.000 0.500
```

Computed properties:
formation energy without anion corrections	430	meV per atom
polymorph energy (0 for the lowest one)	17.536	kcal/mol of atoms
V	20.55	Å³/atom

***

DFT (PBE-GGA) results for SrAl2PO after structural relaxation.

Cell and atoms, written as POSCAR:
```
SrAl2PO
1.0
4.505 0.000 0.000
0.000 6.156 0.000
0.000 0.000 4.505
Al O P Sr
2 1 1 1
Direct
0.000 0.000 0.500
0.500 0.000 0.000
0.500 0.500 0.500
0.000 0.000 0.000
0.000 0.500 0.000
```

Computed properties:
formation energy without anion corrections	-8	meV per atom
V	24.99	Å³/atom

***

DFT (PBE-GGA) results for SrAlPO2 after structural relaxation.

Cell and atoms, written as POSCAR:
```
SrAlPO2
1.0
-3.350 2.206 1.562
-2.702 -2.657 -2.043
-0.119 -3.693 4.960
O Sr P Al
2 1 1 1
Direct
0.500 0.000 0.000
0.000 0.500 0.000
0.000 0.000 0.000
0.000 0.000 0.500
0.500 0.500 0.500
```

Computed properties:
formation energy without anion corrections	154	meV per atom
polymorph energy (0 for the lowest one)	34.194	kcal/mol of atoms
V	22.93	Å³/atom

***

DFT (PBE-GGA) results for SrAlPO2 after structural relaxation.

Cell and atoms, written as POSCAR:
```
SrAlPO2
1.0
4.005 0.000 0.000
0.000 4.005 0.000
0.000 0.000 4.724
Sr P Al O
1 1 1 2
Direct
0.500 0.500 0.500
0.000 0.000 0.500
0.000 0.000 0.000
0.000 0.500 0.000
0.500 0.000 0.000
```

Computed properties:
formation energy without anion corrections	-1329	meV per atom
polymorph energy (0 for the lowest one)	0.000	kcal/mol of atoms
V	15.16	Å³/atom

***

DFT (PBE-GGA) results for TaAlPO2 after structural relaxation.

Cell and atoms, written as POSCAR:
```
TaAlPO2
1.0
-3.133 -0.226 -2.289
-2.258 -0.437 3.133
-0.595 5.220 0.299
O Ta Al P
2 1 1 1
Direct
0.500 0.000 0.000
0.000 0.500 0.000
0.000 0.000 0.000
0.500 0.500 0.500
0.000 0.000 0.500
```

Computed properties:
formation energy without anion corrections	-1441	meV per atom
polymorph energy (0 for the lowest one)	0.000	kcal/mol of atoms
V	15.90	Å³/atom

***

DFT (PBE-GGA) results for TaAlPO2 after structural relaxation.

Cell and atoms, written as POSCAR:
```
TaAlPO2
1.0
3.591 0.000 0.000
0.000 3.591 0.000
0.000 0.000 4.976
O P Al Ta
2 1 1 1
Direct
0.000 0.500 0.000
0.500 0.000 0.000
0.000 0.000 0.500
0.000 0.000 0.000
0.500 0.500 0.500
```

Computed properties:
formation energy without anion corrections	-968	meV per atom
polymorph energy (0 for the lowest one)	10.904	kcal/mol of atoms
V	12.84	Å³/atom